{"formula": "BaLi2ZnIn", "functional": "PBE-GGA", "state": "optimized geometry", "rho_kg_m3": 3752, "crystal_system": "tetragonal", "space_group": "P4/mmm, No. 123", "total_energy_ev_per_atom": -2.0392, "lattice_angstrom": [[-2.108, 3.074, 3.727], [1.985, -3.156, 3.726], [4.411, 2.898, 0.105]], "species": ["Zn", "Li", "Li", "Ba", "In"], "fractional_positions": [[0.000, 0.000, 0.500], [0.000, 0.500, 0.000], [0.500, 0.000, 0.000], [0.500, 0.500, 0.500], [0.000, 0.000, 0.000]]}